# TiPtS2Cl | the Alexandria database | GGA-PBE | optimized geometry
data_TiPtS2Cl
_space_group_name_H-M_alt 'P 1'
_space_group_IT_number 1
_cell_length_a 4.734
_cell_length_b 4.734
_cell_length_c 4.717
_cell_angle_alpha 90.00
_cell_angle_beta 90.00
_cell_angle_gamma 90.00
loop_
_space_group_symop_operation_xyz
'x,y,z'
loop_
_atom_site_label
_atom_site_fract_x
_atom_site_fract_y
_atom_site_fract_z
Ti1 0.000 0.000 0.000
Pt1 0.500 0.500 0.500
S1 0.000 0.500 0.500
S2 0.500 0.000 0.500
Cl1 0.500 0.500 0.000
# * symmetry: P4/mmm (123)
# * magnetic moment: 0.01 μB/atom
# * relative energy among the computed polymorphs: 298 meV per atom
# * E_tot: -22.49 eV/f.u.
# * ΔE_f (raw): 0.3095 eV/atom


# TiPt2SCl | the Alexandria database | GGA-PBE | optimized geometry
data_TiPt2SCl
_space_group_name_H-M_alt 'P 1'
_space_group_IT_number 1
_cell_length_a 4.584
_cell_length_b 4.584
_cell_length_c 4.475
_cell_angle_alpha 90.00
_cell_angle_beta 90.00
_cell_angle_gamma 90.00
loop_
_space_group_symop_operation_xyz
'x,y,z'
loop_
_atom_site_label
_atom_site_fract_x
_atom_site_fract_y
_atom_site_fract_z
Ti1 0.000 0.000 0.000
Pt1 0.000 0.500 0.500
Pt2 0.500 0.000 0.500
S1 0.500 0.500 0.000
Cl1 0.000 0.000 0.500
# * symmetry: P4/mmm (123)
# * magnetic moment: 0.00 μB/atom
# * E_tot: -22.26 eV/f.u.
# * ΔE_f (raw): 0.7381 eV/atom


# VPtSCl2 | the Alexandria database | GGA-PBE | optimized geometry
data_VPtSCl2
_space_group_name_H-M_alt 'P 1'
_space_group_IT_number 1
_cell_length_a 4.798
_cell_length_b 4.798
_cell_length_c 4.858
_cell_angle_alpha 90.00
_cell_angle_beta 90.00
_cell_angle_gamma 90.00
loop_
_space_group_symop_operation_xyz
'x,y,z'
loop_
_atom_site_label
_atom_site_fract_x
_atom_site_fract_y
_atom_site_fract_z
V1 0.000 0.000 0.000
Pt1 0.500 0.500 0.500
S1 0.500 0.500 0.000
Cl1 0.000 0.500 0.500
Cl2 0.500 0.000 0.500
# * symmetry: P4/mmm (123)
# * magnetic moment: 0.63 μB/atom
# * relative energy among the computed polymorphs: 120 meV per atom
# * E_tot: -21.28 eV/f.u.
# * ΔE_f (raw): 0.3410 eV/atom


# VPt2SCl | the Alexandria database | GGA-PBE | optimized geometry
data_VPt2SCl
_space_group_name_H-M_alt 'P 1'
_space_group_IT_number 1
_cell_length_a 4.496
_cell_length_b 4.496
_cell_length_c 4.752
_cell_angle_alpha 90.00
_cell_angle_beta 90.00
_cell_angle_gamma 90.00
loop_
_space_group_symop_operation_xyz
'x,y,z'
loop_
_atom_site_label
_atom_site_fract_x
_atom_site_fract_y
_atom_site_fract_z
V1 0.000 0.000 0.000
Pt1 0.000 0.500 0.500
Pt2 0.500 0.000 0.500
S1 0.500 0.500 0.000
Cl1 0.500 0.500 0.500
# * symmetry: P4/mmm (123)
# * magnetic moment: 0.02 μB/atom
# * relative energy among the computed polymorphs: 339 meV per atom
# * E_tot: -20.50 eV/f.u.
# * ΔE_f (raw): 1.3351 eV/atom


# VPt2SCl | the Alexandria database | GGA-PBE | optimized geometry
data_VPt2SCl
_space_group_name_H-M_alt 'P 1'
_space_group_IT_number 1
_cell_length_a 4.575
_cell_length_b 4.575
_cell_length_c 4.551
_cell_angle_alpha 90.00
_cell_angle_beta 90.00
_cell_angle_gamma 90.00
loop_
_space_group_symop_operation_xyz
'x,y,z'
loop_
_atom_site_label
_atom_site_fract_x
_atom_site_fract_y
_atom_site_fract_z
V1 0.000 0.000 0.000
Pt1 0.000 0.500 0.500
Pt2 0.500 0.000 0.500
S1 0.500 0.500 0.000
Cl1 0.000 0.000 0.500
# * symmetry: P4/mmm (123)
# * magnetic moment: 0.55 μB/atom
# * relative energy among the computed polymorphs: 0 meV per atom
# * E_tot: -22.19 eV/f.u.
# * ΔE_f (raw): 0.9960 eV/atom


# VPtSCl2 | the Alexandria database | GGA-PBE | optimized geometry
data_VPtSCl2
_space_group_name_H-M_alt 'P 1'
_space_group_IT_number 1
_cell_length_a 4.461
_cell_length_b 4.461
_cell_length_c 4.874
_cell_angle_alpha 90.00
_cell_angle_beta 90.00
_cell_angle_gamma 90.00
loop_
_space_group_symop_operation_xyz
'x,y,z'
loop_
_atom_site_label
_atom_site_fract_x
_atom_site_fract_y
_atom_site_fract_z
V1 0.000 0.000 0.000
Pt1 0.500 0.500 0.500
S1 0.000 0.000 0.500
Cl1 0.000 0.500 0.000
Cl2 0.500 0.000 0.000
# * symmetry: P4/mmm (123)
# * magnetic moment: 0.00 μB/atom
# * relative energy among the computed polymorphs: 0 meV per atom
# * E_tot: -21.87 eV/f.u.
# * ΔE_f (raw): 0.2210 eV/atom


# PtWS2Cl | the Alexandria database | GGA-PBE | optimized geometry
data_PtWS2Cl
_space_group_name_H-M_alt 'P 1'
_space_group_IT_number 1
_cell_length_a 4.686
_cell_length_b 4.686
_cell_length_c 4.633
_cell_angle_alpha 90.00
_cell_angle_beta 90.00
_cell_angle_gamma 90.00
loop_
_space_group_symop_operation_xyz
'x,y,z'
loop_
_atom_site_label
_atom_site_fract_x
_atom_site_fract_y
_atom_site_fract_z
Pt1 0.000 0.000 0.000
W1 0.500 0.500 0.500
S1 0.000 0.500 0.500
S2 0.500 0.000 0.500
Cl1 0.500 0.500 0.000
# * symmetry: P4/mmm (123)
# * magnetic moment: 0.00 μB/atom
# * relative energy among the computed polymorphs: 0 meV per atom
# * E_tot: -26.00 eV/f.u.
# * ΔE_f (raw): 0.6193 eV/atom


# PtWS2Cl | the Alexandria database | GGA-PBE | optimized geometry
data_PtWS2Cl
_space_group_name_H-M_alt 'P 1'
_space_group_IT_number 1
_cell_length_a 4.738
_cell_length_b 4.738
_cell_length_c 4.668
_cell_angle_alpha 90.00
_cell_angle_beta 90.00
_cell_angle_gamma 90.00
loop_
_space_group_symop_operation_xyz
'x,y,z'
loop_
_atom_site_label
_atom_site_fract_x
_atom_site_fract_y
_atom_site_fract_z
Pt1 0.000 0.000 0.000
W1 0.500 0.500 0.500
S1 0.000 0.500 0.000
S2 0.500 0.000 0.000
Cl1 0.000 0.000 0.500
# * symmetry: P4/mmm (123)
# * magnetic moment: 0.69 μB/atom
# * relative energy among the computed polymorphs: 544 meV per atom
# * E_tot: -23.28 eV/f.u.
# * ΔE_f (raw): 1.1637 eV/atom


# ZnPtS2Cl | the Alexandria database | GGA-PBE | optimized geometry
data_ZnPtS2Cl
_space_group_name_H-M_alt 'P 1'
_space_group_IT_number 1
_cell_length_a 4.732
_cell_length_b 4.732
_cell_length_c 4.498
_cell_angle_alpha 90.00
_cell_angle_beta 90.00
_cell_angle_gamma 90.00
loop_
_space_group_symop_operation_xyz
'x,y,z'
loop_
_atom_site_label
_atom_site_fract_x
_atom_site_fract_y
_atom_site_fract_z
Zn1 0.000 0.000 0.000
Pt1 0.500 0.500 0.500
S1 0.000 0.500 0.000
S2 0.500 0.000 0.000
Cl1 0.000 0.000 0.500
# * symmetry: P4/mmm (123)
# * magnetic moment: 0.00 μB/atom
# * relative energy among the computed polymorphs: 428 meV per atom
# * E_tot: -13.57 eV/f.u.
# * ΔE_f (raw): 0.7686 eV/atom


# ZnPtS2Cl | the Alexandria database | GGA-PBE | optimized geometry
data_ZnPtS2Cl
_space_group_name_H-M_alt 'P 1'
_space_group_IT_number 1
_cell_length_a 4.725
_cell_length_b 4.725
_cell_length_c 4.896
_cell_angle_alpha 90.00
_cell_angle_beta 90.00
_cell_angle_gamma 90.00
loop_
_space_group_symop_operation_xyz
'x,y,z'
loop_
_atom_site_label
_atom_site_fract_x
_atom_site_fract_y
_atom_site_fract_z
Zn1 0.000 0.000 0.000
Pt1 0.500 0.500 0.500
S1 0.000 0.500 0.500
S2 0.500 0.000 0.500
Cl1 0.500 0.500 0.000
# * symmetry: P4/mmm (123)
# * magnetic moment: 0.06 μB/atom
# * relative energy among the computed polymorphs: 0 meV per atom
# * E_tot: -15.71 eV/f.u.
# * ΔE_f (raw): 0.3406 eV/atom


# ZrPtS2Cl | the Alexandria database | GGA-PBE | optimized geometry
data_ZrPtS2Cl
_space_group_name_H-M_alt 'P 1'
_space_group_IT_number 1
_cell_length_a 4.729
_cell_length_b 4.729
_cell_length_c 4.666
_cell_angle_alpha 90.00
_cell_angle_beta 90.00
_cell_angle_gamma 90.00
loop_
_space_group_symop_operation_xyz
'x,y,z'
loop_
_atom_site_label
_atom_site_fract_x
_atom_site_fract_y
_atom_site_fract_z
Zr1 0.000 0.000 0.000
Pt1 0.500 0.500 0.500
S1 0.000 0.500 0.500
S2 0.500 0.000 0.500
Cl1 0.500 0.500 0.000
# * symmetry: P4/mmm (123)
# * magnetic moment: 0.03 μB/atom
# * relative energy among the computed polymorphs: 185 meV per atom
# * E_tot: -24.11 eV/f.u.
# * ΔE_f (raw): 0.1170 eV/atom


# ZrPtS2Cl | the Alexandria database | GGA-PBE | optimized geometry
data_ZrPtS2Cl
_space_group_name_H-M_alt 'P 1'
_space_group_IT_number 1
_cell_length_a 4.995
_cell_length_b 4.995
_cell_length_c 4.885
_cell_angle_alpha 90.00
_cell_angle_beta 90.00
_cell_angle_gamma 90.00
loop_
_space_group_symop_operation_xyz
'x,y,z'
loop_
_atom_site_label
_atom_site_fract_x
_atom_site_fract_y
_atom_site_fract_z
Zr1 0.000 0.000 0.000
Pt1 0.500 0.500 0.500
S1 0.000 0.500 0.000
S2 0.500 0.000 0.000
Cl1 0.000 0.000 0.500
# * symmetry: P4/mmm (123)
# * magnetic moment: 0.18 μB/atom
# * relative energy among the computed polymorphs: 0 meV per atom
# * E_tot: -25.03 eV/f.u.
# * ΔE_f (raw): -0.0677 eV/atom


# SbPtCl2 | the Alexandria database | GGA-PBE | optimized geometry
data_SbPtCl2
_space_group_name_H-M_alt 'P 1'
_space_group_IT_number 1
_cell_length_a 3.498
_cell_length_b 3.498
_cell_length_c 8.472
_cell_angle_alpha 90.00
_cell_angle_beta 90.00
_cell_angle_gamma 107.14
loop_
_space_group_symop_operation_xyz
'x,y,z'
loop_
_atom_site_label
_atom_site_fract_x
_atom_site_fract_y
_atom_site_fract_z
Sb1 0.000 0.000 0.000
Pt1 0.500 0.500 0.815
Cl1 0.000 0.000 0.637
Cl2 0.500 0.500 0.241
# * symmetry: Cmm2 (35)
# * magnetic moment: 0.00 μB/atom
# * relative energy among the computed polymorphs: 362 meV per atom
# * E_tot: -14.48 eV/f.u.
# * ΔE_f (raw): -0.1546 eV/atom


# SbPtCl2 | the Alexandria database | GGA-PBE | optimized geometry
data_SbPtCl2
_space_group_name_H-M_alt 'P 1'
_space_group_IT_number 1
_cell_length_a 8.934
_cell_length_b 8.934
_cell_length_c 8.934
_cell_angle_alpha 22.77
_cell_angle_beta 22.77
_cell_angle_gamma 22.77
loop_
_space_group_symop_operation_xyz
'x,y,z'
loop_
_atom_site_label
_atom_site_fract_x
_atom_site_fract_y
_atom_site_fract_z
Sb1 0.000 0.000 0.000
Pt1 0.500 0.500 0.500
Cl1 0.104 0.104 0.104
Cl2 0.896 0.896 0.896
# * symmetry: R-3m (166)
# * magnetic moment: 0.00 μB/atom
# * relative energy among the computed polymorphs: 748 meV per atom
# * E_tot: -12.93 eV/f.u.
# * ΔE_f (raw): 0.2313 eV/atom


# SbPtCl2 | the Alexandria database | GGA-PBE | optimized geometry
data_SbPtCl2
_space_group_name_H-M_alt 'P 1'
_space_group_IT_number 1
_cell_length_a 5.242
_cell_length_b 3.707
_cell_length_c 5.329
_cell_angle_alpha 90.00
_cell_angle_beta 104.17
_cell_angle_gamma 90.00
loop_
_space_group_symop_operation_xyz
'x,y,z'
loop_
_atom_site_label
_atom_site_fract_x
_atom_site_fract_y
_atom_site_fract_z
Sb1 0.000 0.000 0.000
Pt1 0.797 0.500 0.675
Cl1 0.320 0.500 0.687
Cl2 0.672 0.000 0.298
# * symmetry: Pm (6)
# * magnetic moment: 0.00 μB/atom
# * relative energy among the computed polymorphs: 131 meV per atom
# * E_tot: -15.40 eV/f.u.
# * ΔE_f (raw): -0.3854 eV/atom